{"formula": "CdReNF2", "functional": "PBE", "state": "relaxed", "e_form_raw_ev_per_atom": -0.49, "dos_ef_per_ev_atom": 0.59, "energy_ev_per_cell": -27.9, "cell": [[-0.9442, -3.3442, -2.5918], [3.6188, -2.0142, 1.2807], [-1.9263, -1.6560, 2.8384]], "species": ["Re", "N", "F", "F", "Cd"], "fractional_positions": [[0.0000, 0.0000, 0.0000], [0.0000, 0.0000, 0.5000], [0.0000, 0.5000, 0.0000], [0.5000, 0.0000, 0.0000], [0.5000, 0.5000, 0.5000]]}